# Rb5MnO5 (PBE+U, optimized geometry)
# - V: 22.1 Å³ per atom
# - D(E_F): 4.1 states/eV per cell
# - VASP energy: -48.25 eV/f.u.
data_Rb5MnO5
_space_group_name_H-M_alt 'C 1 2/m 1'
_space_group_IT_number 12
_space_group_name_Hall '-C 2y'
_cell_length_a 12.4177
_cell_length_b 5.5187
_cell_length_c 7.4714
_cell_angle_alpha 90.00
_cell_angle_beta 108.62
_cell_angle_gamma 90.00
loop_
_atom_site_label
_atom_site_type_symbol
_atom_site_fract_x
_atom_site_fract_y
_atom_site_fract_z
_atom_site_occupancy
Rb1 Rb 0.0000 0.0000 0.0000 1
Rb2 Rb 0.1690 0.5000 0.3374 1
Rb3 Rb 0.1812 0.5000 0.8003 1
Mn1 Mn 0.0000 0.0000 0.5000 1
O1 O 0.0000 0.5000 0.5000 1
O2 O 0.1179 0.0000 0.3806 1
O3 O 0.1181 0.0000 0.7463 1